A geometry-optimized In5SnHgBi2 structure. Source: Alexandria, functional PBE.

Calculated formation energy, eV/atom: 0.045
Electronic total energy, eV/f.u.: -25.35
Magnetization, μB per cell: 0.00
Theoretical density, g/cm³: 7.85

Cell lengths 4.8084, 9.3161, 12.8112 Å; angles 90.00, 90.00, 104.96 degrees
Last column: nearest neighbours and their distance in Å.
Element x y z (fractional)
In 0.3909 0.7817 0.9992  1 Hg 3.10, 1 Sn 3.25, 4 Bi 3.29-3.36
In 0.6866 0.3731 0.8117  1 Sn 3.06, 3 Bi 3.12-3.16, 2 Hg 3.32
In 0.4963 0.9926 0.7709  1 Sn 3.08, 2 In 3.23
In 0.3053 0.6107 0.6636  3 Bi 3.16-3.29, 1 Sn 3.17, 2 Hg 3.36
In 0.9550 0.9100 0.6128  2 Sn 2.93, 2 Bi 3.18-3.24, 2 In 3.23
In 0.6091 0.2183 0.4992  1 Hg 3.10, 1 Sn 3.25, 4 Bi 3.29-3.36
In 0.3134 0.6269 0.3117  1 Sn 3.06, 3 Bi 3.12-3.16, 2 Hg 3.32
In 0.5037 0.0074 0.2709  1 Sn 3.08, 2 In 3.23
In 0.6947 0.3893 0.1636  3 Bi 3.16-3.29, 1 Sn 3.17, 2 Hg 3.36
In 0.0450 0.0900 0.1128  2 Sn 2.93, 2 Bi 3.18-3.24, 2 In 3.23
Sn 0.5711 0.1423 0.9872  6 In 2.93-3.25
Sn 0.4289 0.8577 0.4872  6 In 2.93-3.25
Hg 0.7809 0.5617 0.4842  5 In 3.10-3.36
Hg 0.2191 0.4383 0.9842  5 In 3.10-3.36
Bi 0.8596 0.7192 0.8219  6 In 3.12-3.36
Bi 0.1297 0.2594 0.6726  6 In 3.16-3.29
Bi 0.1404 0.2808 0.3219  6 In 3.12-3.36
Bi 0.8703 0.7406 0.1726  6 In 3.16-3.29